Entry 1:
First-principles (PBE) data for a relaxed Li3Ca crystal, as listed in Alexandria via LeMat-Bulk.

Values from the calculation:
density = 0.966 g/cm³
energy above the lowest structure with this stoichiometry = 21 meV per atom
V = 26.18 Å³ per atom

Structure (CIF):
```
data_Li3Ca
_cell_length_a 3.9360
_cell_length_b 5.2242
_cell_length_c 10.1858
_cell_angle_alpha 90.00
_cell_angle_beta 90.00
_cell_angle_gamma 90.00
_space_group_name_H-M_alt 'I m m m'
_space_group_IT_number 71
_space_group_name_Hall '-I 2 2'
loop_
_atom_site_label
_atom_site_type_symbol
_atom_site_fract_x
_atom_site_fract_y
_atom_site_fract_z
_atom_site_occupancy
Li1 Li 0.0000 0.0000 0.0000 1
Li2 Li 0.0000 0.5000 0.2716 1
Ca1 Ca 0.0000 0.0000 0.5000 1
```

Entry 2:
First-principles (PBE) data for a relaxed LiCa2 crystal, as listed in Alexandria via LeMat-Bulk.

Values from the calculation:
density = 1.231 g/cm³
energy above the lowest structure with this stoichiometry = 207 meV per atom
V = 39.16 Å³ per atom

Structure (CIF):
```
data_LiCa2
_cell_length_a 7.7748
_cell_length_b 7.7748
_cell_length_c 7.7748
_cell_angle_alpha 90.00
_cell_angle_beta 90.00
_cell_angle_gamma 90.00
_space_group_name_H-M_alt 'F m -3 m'
_space_group_IT_number 225
_space_group_name_Hall '-F 4 2 3'
loop_
_atom_site_label
_atom_site_type_symbol
_atom_site_fract_x
_atom_site_fract_y
_atom_site_fract_z
_atom_site_occupancy
Li1 Li 0.0000 0.0000 0.0000 1
Ca1 Ca 0.2500 0.2500 0.2500 1
```

Entry 3:
First-principles (PBE) data for a relaxed Li4Ca crystal, as listed in Alexandria via LeMat-Bulk.

Values from the calculation:
density = 0.896 g/cm³
energy above the lowest structure with this stoichiometry = 0 meV per atom
V = 25.16 Å³ per atom

Structure (CIF):
```
data_Li4Ca
_cell_length_a 6.3471
_cell_length_b 6.3695
_cell_length_c 6.9799
_cell_angle_alpha 90.00
_cell_angle_beta 116.93
_cell_angle_gamma 90.00
_space_group_name_H-M_alt 'C 1 2/m 1'
_space_group_IT_number 12
_space_group_name_Hall '-C 2y'
loop_
_atom_site_label
_atom_site_type_symbol
_atom_site_fract_x
_atom_site_fract_y
_atom_site_fract_z
_atom_site_occupancy
Li1 Li 0.0000 0.2493 0.0000 1
Li2 Li 0.1093 0.5000 0.7205 1
Ca1 Ca 0.0000 0.0000 0.5000 1
```